(1)
Computed, not measured: an optimized crystal structure of CuNi3Ir at the PBE-GGA level of DFT.

a = 6.861 Å, b = 6.193 Å, c = 6.193 Å
α = 84.83°, β = 71.54°, γ = 71.54°
Sites, in units of the cell vectors:
Cu  0.250  0.889  0.111
Cu  0.750  0.111  0.889
Cu  0.250  0.360  0.640
Cu  0.750  0.640  0.360
Ni  0.641  0.781  0.024
Ni  0.859  0.976  0.219
Ni  0.359  0.219  0.976
Ni  0.141  0.024  0.781
Ni  0.962  0.322  0.077
Ni  0.538  0.923  0.678
Ni  0.038  0.678  0.923
Ni  0.462  0.077  0.322
Ni  0.432  0.578  0.837
Ni  0.068  0.163  0.422
Ni  0.568  0.422  0.163
Ni  0.932  0.837  0.578
Ir  0.839  0.477  0.732
Ir  0.661  0.268  0.523
Ir  0.161  0.523  0.268
Ir  0.339  0.732  0.477

## Properties
Total moment = 0.00 μB per cell
Energy = -5.95 eV/atom
Excess energy over the best structure of this formula in the dataset = 0.0 meV/atom
ΔH_f (0 K) = 111.4 meV per atom
Space group = No. 15

(2)
Computed, not measured: an optimized crystal structure of SrTaBe at the PBE-GGA level of DFT.

a = 6.985 Å, b = 6.985 Å, c = 3.033 Å
α = 77.46°, β = 77.46°, γ = 25.08°
Sites, in units of the cell vectors:
Sr  0.346  0.346  0.654
Be  0.024  0.024  0.976
Ta  0.630  0.630  0.370

## Properties
Total moment = 0.00 μB per cell
Energy = -5.10 eV/atom
Excess energy over the best structure of this formula in the dataset = 0.0 meV/atom
ΔH_f (0 K) = 649.0 meV per atom
Space group = No. 107

(3)
Computed, not measured: an optimized crystal structure of K2YBiTe4 at the PBE-GGA level of DFT.

a = 4.528 Å, b = 7.937 Å, c = 8.656 Å
α = 107.36°, β = 90.00°, γ = 90.00°
Sites, in units of the cell vectors:
K  0.500  0.000  0.500
K  0.000  0.500  0.500
Y  0.500  0.500  0.000
Bi  0.000  0.000  0.000
Te  0.500  0.242  0.211
Te  0.500  0.758  0.789
Te  0.000  0.268  0.792
Te  0.000  0.732  0.208

## Properties
E_form (uncorrected) = -8.12 eV per formula unit
Total moment = 0.00 μB per cell
Energy = -4.15 eV/atom
Space group = No. 10

(4)
Computed, not measured: an optimized crystal structure of ThPaNi4 at the PBE-GGA level of DFT.

a = 5.108 Å, b = 5.108 Å, c = 5.108 Å
α = 60.00°, β = 60.00°, γ = 60.00°
Sites, in units of the cell vectors:
Ni  0.626  0.626  0.123
Ni  0.626  0.123  0.626
Ni  0.626  0.626  0.626
Ni  0.123  0.626  0.626
Pa  0.000  0.000  0.000
Th  0.250  0.250  0.250

## Properties
Total moment = 0.00 μB per cell
Energy = -7.01 eV/atom
Excess energy over the best structure of this formula in the dataset = 28.0 meV/atom
ΔH_f (0 K) = -338.0 meV per atom
Space group = No. 216